1.
VASP calculation (GGA-PBE) on an optimized crystal structure of SrAlHgAu.

Lattice parameters (Å, degrees): 5.129 5.129 5.129 60.00 60.00 60.00
Atoms (fractional coordinates):
Sr 0.000 0.000 0.000
Al 0.500 0.500 0.500
Hg 0.750 0.750 0.750
Au 0.250 0.250 0.250

As for the space group: No. 216. The calculation puts the offset from the most stable computed form at 0 meV/atom. The crystal system is cubic. The value obtained for the calculated density is 8.92 Mg/m³.

***

2.
VASP calculation (GGA-PBE) on an optimized crystal structure of RbSmC2O6.

Lattice parameters (Å, degrees): 6.464 6.464 7.047 104.36 104.36 93.62
Atoms (fractional coordinates):
Rb 0.110 0.890 0.750
Rb 0.890 0.110 0.250
Sm 0.401 0.599 0.250
Sm 0.599 0.401 0.750
C 0.150 0.393 0.744
C 0.393 0.150 0.244
C 0.607 0.850 0.756
C 0.850 0.607 0.256
O 0.050 0.609 0.270
O 0.221 0.259 0.614
O 0.259 0.221 0.114
O 0.295 0.536 0.890
O 0.391 0.950 0.230
O 0.464 0.705 0.610
O 0.536 0.295 0.390
O 0.609 0.050 0.770
O 0.705 0.464 0.110
O 0.741 0.779 0.886
O 0.779 0.741 0.386
O 0.950 0.391 0.730

As for the space group: No. 15. The energy is -75.1 eV/f.u. The crystal system is monoclinic. The value obtained for the calculated density is 4.32 Mg/m³.

***

3.
VASP calculation (GGA-PBE) on an optimized crystal structure of LaSm2Pb7.

Lattice parameters (Å, degrees): 13.222 13.222 4.788 90.00 90.00 159.28
Atoms (fractional coordinates):
La 0.000 0.000 0.000
Sm 0.189 0.811 0.000
Sm 0.811 0.189 0.000
Pb 0.099 0.901 0.500
Pb 0.294 0.706 0.500
Pb 0.402 0.598 0.000
Pb 0.500 0.500 0.500
Pb 0.598 0.402 0.000
Pb 0.706 0.294 0.500
Pb 0.901 0.099 0.500

As for the space group: No. 65. The energy is -44.7 eV/f.u. The crystal system is orthorhombic. The value obtained for the calculated density is 10.60 Mg/m³.

***

4.
VASP calculation (GGA-PBE) on an optimized crystal structure of CdPtNO.

Lattice parameters (Å, degrees): 6.249 7.478 4.905 90.00 90.00 90.00
Atoms (fractional coordinates):
Cd 0.076 0.127 0.000
Cd 0.424 0.127 0.500
Cd 0.576 0.873 0.000
Cd 0.924 0.873 0.500
Pt 0.057 0.554 0.972
Pt 0.443 0.554 0.472
Pt 0.557 0.446 0.972
Pt 0.943 0.446 0.472
N 0.142 0.635 0.599
N 0.358 0.635 0.099
N 0.642 0.365 0.599
N 0.858 0.365 0.099
O 0.070 0.143 0.523
O 0.430 0.143 0.023
O 0.570 0.857 0.523
O 0.930 0.857 0.023

As for the space group: No. 29. The calculation puts the offset from the most stable computed form at 0 meV/atom. The crystal system is orthorhombic. The value obtained for the calculated density is 9.78 Mg/m³.